[1]
## Ca2MgTl (SCAN)

Data for a crystal of Ca2MgTl relaxed with PBEsol.

## Properties
mass density: 4.20 g/cm³
crystal system: tetragonal
polymorph energy (0 for the lowest one): 0.64 eV per formula unit
ΔE_f: -23.2 kJ per mole of atoms

Unit cell a=3.853 b=3.853 c=8.214 alpha=90.00 beta=90.00 gamma=90.00
Space group P4mm (No. 99)
Symmetry-distinct sites (fractional):
Ca 0.000 0.000 0.000 [1 per cell]
Ca 0.500 0.500 0.340 [1 per cell]
Mg 0.000 0.000 0.586 [1 per cell]
Tl 0.500 0.500 0.766 [1 per cell]

[2]
## CaMgTl2 (SCAN)

Data for a crystal of CaMgTl2 relaxed with PBEsol.

## Properties
mass density: 7.32 g/cm³
crystal system: monoclinic
polymorph energy (0 for the lowest one): 0.47 eV per formula unit
ΔE_f: -29.8 kJ per mole of atoms

Unit cell a=9.589 b=3.573 c=6.385 alpha=90.00 beta=101.16 gamma=90.00
Space group C2/m (No. 12)
Symmetry-distinct sites (fractional):
Ca 0.000 0.000 0.000 [2 per cell]
Mg 0.000 0.500 0.500 [2 per cell]
Tl 0.244 0.000 0.724 [4 per cell]

[3]
## CaMgTl2 (SCAN)

Data for a crystal of CaMgTl2 relaxed with PBEsol.

## Properties
mass density: 7.76 g/cm³
crystal system: cubic
polymorph energy (0 for the lowest one): 0.00 eV per formula unit
ΔE_f: -41.2 kJ per mole of atoms

Unit cell a=7.398 b=7.398 c=7.398 alpha=90.00 beta=90.00 gamma=90.00
Space group Fm-3m (No. 225)
Symmetry-distinct sites (fractional):
Ca 0.000 0.000 0.000 [4 per cell]
Mg 0.000 0.000 0.500 [4 per cell]
Tl 0.250 0.250 0.250 [8 per cell]

[4]
## CaMgTl2 (SCAN)

Data for a crystal of CaMgTl2 relaxed with PBEsol.

## Properties
mass density: 7.64 g/cm³
crystal system: tetragonal
polymorph energy (0 for the lowest one): 0.17 eV per formula unit
ΔE_f: -37.0 kJ per mole of atoms

Unit cell a=5.073 b=5.073 c=3.996 alpha=90.00 beta=90.00 gamma=90.00
Space group P4/mmm (No. 123)
Symmetry-distinct sites (fractional):
Ca 0.000 0.000 0.000 [1 per cell]
Mg 0.500 0.500 0.000 [1 per cell]
Tl 0.000 0.500 0.500 [2 per cell]

[5]
## CaMg2Tl2 (SCAN)

Data for a crystal of CaMg2Tl2 relaxed with PBEsol.

## Properties
mass density: 6.26 g/cm³
crystal system: tetragonal
polymorph energy (0 for the lowest one): 0.00 eV per formula unit
ΔE_f: -34.5 kJ per mole of atoms

Unit cell a=4.489 b=4.489 c=13.098 alpha=90.00 beta=90.00 gamma=90.00
Space group I4/mmm (No. 139)
Symmetry-distinct sites (fractional):
Ca 0.000 0.000 0.000 [2 per cell]
Mg 0.000 0.500 0.250 [4 per cell]
Tl 0.000 0.000 0.390 [4 per cell]

[6]
## CaMgTl2 (SCAN)

Data for a crystal of CaMgTl2 relaxed with PBEsol.

## Properties
mass density: 7.39 g/cm³
crystal system: cubic
polymorph energy (0 for the lowest one): 0.98 eV per formula unit
ΔE_f: -17.5 kJ per mole of atoms

Unit cell a=7.520 b=7.520 c=7.520 alpha=90.00 beta=90.00 gamma=90.00
Space group F-43m (No. 216)
Symmetry-distinct sites (fractional):
Ca 0.000 0.000 0.000 [4 per cell]
Mg 0.250 0.250 0.750 [4 per cell]
Tl 0.000 0.000 0.500 [4 per cell]
Tl 0.250 0.250 0.250 [4 per cell]

[7]
## CaMgTl2 (SCAN)

Data for a crystal of CaMgTl2 relaxed with PBEsol.

## Properties
mass density: 7.74 g/cm³
crystal system: monoclinic
polymorph energy (0 for the lowest one): 0.08 eV per formula unit
ΔE_f: -39.3 kJ per mole of atoms

Unit cell a=3.691 b=3.701 c=7.429 alpha=90.00 beta=90.11 gamma=90.00
Space group P2/m (No. 10)
Symmetry-distinct sites (fractional):
Ca 0.000 0.000 0.000 [1 per cell]
Mg 0.000 0.000 0.500 [1 per cell]
Tl 0.499 0.500 0.274 [2 per cell]

[8]
## CaMgTl2 (SCAN)

Data for a crystal of CaMgTl2 relaxed with PBEsol.

## Properties
mass density: 7.22 g/cm³
crystal system: tetragonal
polymorph energy (0 for the lowest one): 0.74 eV per formula unit
ΔE_f: -23.3 kJ per mole of atoms

Unit cell a=4.015 b=4.015 c=6.752 alpha=90.00 beta=90.00 gamma=90.00
Space group P4mm (No. 99)
Symmetry-distinct sites (fractional):
Ca 0.000 0.000 0.000 [1 per cell]
Mg 0.500 0.500 0.297 [1 per cell]
Tl 0.000 0.000 0.494 [1 per cell]
Tl 0.500 0.500 0.756 [1 per cell]